Record 1
The following is a PBE calculation of a relaxed structure of CaZrZnCd, from Alexandria.

The structure in POSCAR format:
```
CaZrZnCd
1.0
5.056 0.000 0.000
2.528 4.379 0.000
2.528 1.460 4.128
Zn Ca Zr Cd
1 1 1 1
Direct
0.250 0.250 0.250 Zn
0.000 0.000 0.000 Ca
0.500 0.500 0.500 Zr
0.750 0.750 0.750 Cd
```

Summary:
E in eV per atom: -3.251
Symmetry: F-43m, No. 216
V in Å³ per cell: 91.4

Record 2
The following is a PBE calculation of a relaxed structure of CaZr2Cd, from Alexandria.

The structure in POSCAR format:
```
CaZr2Cd
1.0
3.210 0.000 0.000
0.000 4.777 0.000
0.000 0.000 6.437
Ca Zr Cd
1 2 1
Direct
0.500 0.500 0.250 Ca
0.000 0.000 0.985 Zr
0.000 0.000 0.515 Zr
0.500 0.500 0.750 Cd
```

Summary:
E in eV per atom: -4.748
Symmetry: Pmmm, No. 47
V in Å³ per cell: 98.7

Record 3
The following is a PBE calculation of a relaxed structure of CaZr2Cd, from Alexandria.

The structure in POSCAR format:
```
CaZr2Cd
1.0
-2.851 -3.527 2.577
0.730 -5.089 -0.878
2.224 -2.984 3.654
Ca Zr Cd
1 2 1
Direct
0.500 0.500 0.500 Ca
0.000 0.000 0.000 Zr
0.250 0.250 0.250 Zr
0.750 0.750 0.750 Cd
```

Summary:
E in eV per atom: -4.756
Symmetry: F-43m, No. 216
V in Å³ per cell: 100.3

Record 4
The following is a PBE calculation of a relaxed structure of CaZr2Cd, from Alexandria.

The structure in POSCAR format:
```
CaZr2Cd
1.0
-1.784 -0.163 2.736
0.266 -3.260 -0.016
7.967 0.624 5.231
Ca Zr Cd
1 2 1
Direct
0.000 0.000 0.516 Ca
0.000 0.000 0.000 Zr
0.500 0.500 0.218 Zr
0.500 0.500 0.766 Cd
```

Summary:
E in eV per atom: -5.016
Symmetry: P4mm, No. 99
V in Å³ per cell: 102.2